Record 1
TcHgTe2N: relaxed, GGA-PBE.

extended XYZ file:
```
5
Lattice="-5.2267 1.0248 -1.3911 -1.6784 -4.0632 3.3132 -0.2771 2.4134 2.8192" Properties=species:S:1:pos:R:3 pbc="T T T"
N -0.1386 1.2067 1.4096
Te -0.8392 -2.0316 1.6566
Te -2.6134 0.5124 -0.6955
Hg -3.5912 -0.3125 2.3707
Tc 0.0000 0.0000 0.0000
```

Computed properties:
Total magnetization   0.00 Bohr magnetons per cell
Formation energy (no corrections)   1.3 eV per formula unit
ρ   8.360 g/cm³

=====

Record 2
K2Zr3Br9: relaxed, GGA-PBE.

extended XYZ file:
```
28
Lattice="0.0740 9.6025 -4.1915 -4.6834 -5.7490 -7.6408 -5.2525 1.5746 9.1269" Properties=species:S:1:pos:R:3 pbc="T T T"
K -3.8045 -1.1860 -2.8517
K -5.8728 4.2391 -5.2914
K -6.0574 6.6141 0.1462
K -3.9890 1.1889 2.5859
Zr -1.3154 2.9777 -1.3452
Zr -8.5464 2.4504 -1.3603
Zr -1.3827 6.3196 -0.9502
Zr -8.5849 0.4693 1.3606
Zr -8.4792 -0.8916 -1.7552
Zr -1.2769 4.9587 -4.0661
Br -5.0959 4.8365 3.5069
Br -6.9859 0.2030 3.6862
Br -6.7574 -2.7373 -3.0458
Br -2.8760 5.2250 -6.3917
Br -6.9779 4.5696 -2.2327
Br -2.8839 0.8585 -0.4728
Br -2.9893 2.9371 -3.4863
Br -6.7528 0.9504 -2.7463
Br -6.8725 2.4909 0.7808
Br -3.1090 4.4777 0.0408
Br -6.7710 -1.2560 0.3188
Br -4.7640 2.8140 -9.3112
Br -5.2151 8.6188 3.9791
Br -5.0978 2.6140 6.6057
Br -4.6467 -3.1908 -6.6845
Br -4.7660 0.5915 -6.2124
Br -3.0909 6.6840 -3.0243
Br -3.1044 8.1653 0.3403
```

Computed properties:
Total magnetization   4.00 Bohr magnetons per cell
Formation energy (no corrections)   -19.7 eV per formula unit
ρ   3.743 g/cm³

=====

Record 3
TlGaAs3: relaxed, GGA-PBE.

extended XYZ file:
```
5
Lattice="5.3873 0.0000 0.0000 0.0000 5.3873 0.0000 0.0000 0.0000 5.3873" Properties=species:S:1:pos:R:3 pbc="T T T"
Tl 0.0000 0.0000 0.0000
As 0.0000 2.6937 0.0000
As 0.0000 0.0000 2.6937
As 2.6937 0.0000 0.0000
Ga 2.6937 2.6937 2.6937
```

Computed properties:
Total magnetization   0.00 Bohr magnetons per cell
ΔH_f (0 K)   1.04 eV per atom
ρ   5.298 g/cm³

=====

Record 4
HfGa3Ge: relaxed, GGA-PBE.

extended XYZ file:
```
5
Lattice="5.1719 0.0000 0.0000 0.0000 5.1719 0.0000 0.0000 0.0000 5.1719" Properties=species:S:1:pos:R:3 pbc="T T T"
Ge 2.5859 2.5859 2.5859
Hf 0.0000 0.0000 0.0000
Ga 0.0000 2.5859 0.0000
Ga 0.0000 0.0000 2.5859
Ga 2.5859 0.0000 0.0000
```

Computed properties:
Total magnetization   0.00 Bohr magnetons per cell
ΔH_f (0 K)   0.72 eV per atom
ρ   5.525 g/cm³

=====

Record 5
RbTl2BiAu: relaxed, GGA-PBE.

extended XYZ file:
```
5
Lattice="5.6840 0.0000 0.0000 0.0000 5.6840 0.0000 0.0000 0.0000 5.8984" Properties=species:S:1:pos:R:3 pbc="T T T"
Tl 0.0000 2.8420 0.0000
Tl 2.8420 0.0000 0.0000
Au 0.0000 0.0000 0.0000
Bi 0.0000 0.0000 2.9492
Rb 2.8420 2.8420 2.9492
```

Computed properties:
Total magnetization   0.00 Bohr magnetons per cell
ΔH_f (0 K)   0.01 eV per atom
ρ   7.844 g/cm³

=====

Record 6
Na2ZnSe2: relaxed, GGA-PBE.

extended XYZ file:
```
10
Lattice="7.4322 0.0131 -0.0110 1.8058 7.2095 0.0110 -4.3938 -3.8994 4.5527" Properties=species:S:1:pos:R:3 pbc="T T T"
Na 2.3188 -0.3351 1.5580
Na 2.5255 3.6583 2.9948
Na -1.5282 -0.6761 3.8398
Na 6.3725 3.9993 0.7129
Zn -0.6470 0.8275 1.1409
Zn -1.9409 2.4826 3.4228
Se 0.4189 1.6484 3.2580
Se 4.4254 1.6748 1.2947
Se 1.3991 5.5456 0.9872
Se 3.4452 -2.2224 3.5656
```

Computed properties:
Total magnetization   0.00 Bohr magnetons per cell
Formation energy (no corrections)   -4.7 eV per formula unit
ρ   3.667 g/cm³

=====

Record 7
Mg2BeOs: relaxed, GGA-PBE.

extended XYZ file:
```
4
Lattice="-0.0921 2.5660 -3.3054 -2.7714 -0.0526 0.0364 -1.3168 4.1362 3.2476" Properties=species:S:1:pos:R:3 pbc="T T T"
Be -2.8196 4.2370 0.7177
Mg -3.9132 3.9668 3.1884
Mg -1.1576 2.4549 -0.7120
Os -2.4220 2.1164 1.7104
```

Computed properties:
Total magnetization   0.00 Bohr magnetons per cell
ΔH_f (0 K)   0.19 eV per atom
ρ   6.734 g/cm³

=====

Record 8
LiFe2Ni5: relaxed, GGA-PBE.

extended XYZ file:
```
8
Lattice="-3.7748 -2.9551 1.3656 -1.3172 -0.2040 -4.8032 4.6409 -1.3052 1.2668" Properties=species:S:1:pos:R:3 pbc="T T T"
Li 0.6787 -3.7633 -1.4081
Fe 0.2474 -1.6325 -2.7231
Fe -0.9819 -3.0076 0.3613
Ni 0.9058 -1.5308 -0.3217
Ni -2.0733 -0.9798 -3.3563
Ni 1.3386 -3.6605 0.9939
Ni -1.6407 -3.1096 -2.0405
Ni -1.4144 -0.8775 -0.9549
```

Computed properties:
Total magnetization   8.92 Bohr magnetons per cell
ΔH_f (0 K)   -0.05 eV per atom
ρ   7.670 g/cm³

=====

Record 9
La2AgPdN: relaxed, GGA-PBE.

extended XYZ file:
```
5
Lattice="-2.2514 4.3370 1.4886 -4.5524 -2.3126 -0.1475 0.4547 -1.1532 4.0472" Properties=species:S:1:pos:R:3 pbc="T T T"
N 0.0000 0.0000 0.0000
Pd 0.2273 -0.5766 2.0236
Ag -3.1745 0.4356 2.6942
La -2.2762 -1.1563 -0.0737
La -1.1257 2.1685 0.7443
```

Computed properties:
Total magnetization   0.00 Bohr magnetons per cell
Formation energy (no corrections)   -3.2 eV per formula unit
ρ   7.609 g/cm³

=====

Record 10
Ac8PrNd4: relaxed, GGA-PBE.

extended XYZ file:
```
13
Lattice="5.3973 0.0000 1.1669 1.9972 17.1559 3.8280 1.4441 1.4470 6.3860" Properties=species:S:1:pos:R:3 pbc="T T T"
Ac 1.7803 7.0327 4.8312
Ac 4.0958 4.9098 7.1868
Ac 4.7759 12.9823 4.0412
Ac 7.0915 10.8592 6.3963
Ac 4.9180 5.2890 3.3839
Ac 3.8965 16.5112 8.1085
Ac 3.9536 12.6027 7.8443
Ac 4.9757 1.3791 3.1170
Pr 6.1568 18.2471 10.7195
Nd 4.0358 8.8008 7.4641
Nd 7.0375 14.7294 6.6460
Nd 1.8345 3.1612 4.5805
Nd 4.8359 9.0917 3.7635
```

Computed properties:
Total magnetization   0.00 Bohr magnetons per cell
ΔH_f (0 K)   0.03 eV per atom
ρ   7.852 g/cm³

=====

Record 11
LaY3Ru: relaxed, GGA-PBE.

extended XYZ file:
```
5
Lattice="5.3944 0.0000 0.0000 0.0000 5.3944 0.0000 0.0000 0.0000 5.3944" Properties=species:S:1:pos:R:3 pbc="T T T"
Y 0.0000 2.6972 0.0000
Y 0.0000 0.0000 2.6972
Y 2.6972 0.0000 0.0000
Ru 2.6972 2.6972 2.6972
La 0.0000 0.0000 0.0000
```

Computed properties:
Total magnetization   0.00 Bohr magnetons per cell
ΔH_f (0 K)   1.46 eV per atom
ρ   5.360 g/cm³

=====

Record 12
NdDy8Bi6: relaxed, GGA-PBE.

extended XYZ file:
```
15
Lattice="-1.1129 4.3277 6.2728 -2.1004 -3.3019 6.6334 8.3626 -0.7640 6.7387" Properties=species:S:1:pos:R:3 pbc="T T T"
Nd 0.0000 0.0000 0.0000
Dy 2.0032 1.4317 7.2960
Dy 4.1667 2.5392 10.0807
Dy 4.2330 -1.4247 8.0249
Dy -2.1349 0.6830 8.6060
Dy 7.2842 -0.4212 11.0389
Dy 0.9162 1.6866 11.6199
Dy 0.9825 -2.2773 9.5642
Dy 3.1461 -1.1698 12.3489
Bi 6.1885 0.9262 8.4017
Bi -0.0290 3.0032 8.9967
Bi 0.0357 -0.9196 6.9656
Bi 5.1135 1.1815 12.6792
Bi 5.1783 -2.7414 10.6481
Bi -1.0392 -0.6643 11.2432
```

Computed properties:
Total magnetization   0.00 Bohr magnetons per cell
ΔH_f (0 K)   -0.52 eV per atom
ρ   8.895 g/cm³

=====

Number 12 is which compound?
NdDy8Bi6

=====

What is the formula in the ninth record?
La2AgPdN

=====

What did the ninth record say?
La2AgPdN: relaxed, GGA-PBE.

extended XYZ file:
```
5
Lattice="-2.2514 4.3370 1.4886 -4.5524 -2.3126 -0.1475 0.4547 -1.1532 4.0472" Properties=species:S:1:pos:R:3 pbc="T T T"
N 0.0000 0.0000 0.0000
Pd 0.2273 -0.5766 2.0236
Ag -3.1745 0.4356 2.6942
La -2.2762 -1.1563 -0.0737
La -1.1257 2.1685 0.7443
```

Computed properties:
Total magnetization   0.00 Bohr magnetons per cell
Formation energy (no corrections)   -3.2 eV per formula unit
ρ   7.609 g/cm³